20
Lattice="5.0865 2.9367 2.8443 -5.0865 2.9367 2.8443 0.0000 -5.8734 2.8443" Properties=species:S:1:pos:R:3 comment="PBE CeHo3B4O12, optimized geometry" raw_formation_energy_mev_per_atom=-3066 vol_a3_per_fu=255 pbc="T T T"
Ce 0.0000 0.0000 0.0000
Ho -2.7323 -1.1409 2.8443
Ho 2.3542 -1.7958 2.8443
Ho 0.3781 2.9367 2.8443
B -2.3496 -4.0697 4.2665
B 0.0000 0.0000 4.2665
B -2.3496 4.0697 4.2665
B 4.6993 0.0000 4.2665
O -3.0768 -2.8869 4.2128
O -4.0920 0.0000 4.2665
O -0.9617 -4.1080 4.3201
O -1.3835 0.0000 4.2665
O -3.0768 2.8869 4.3201
O 2.0460 -3.5438 4.2665
O 0.6918 -1.1982 4.2665
O -0.9617 4.1080 4.2128
O 0.6918 1.1982 4.2665
O 4.0385 -1.2211 4.2128
O 2.0460 3.5438 4.2665
O 4.0385 1.2211 4.3201